Computed, not measured: Ho8TlIr2 after structural relaxation at the PBE level of DFT.

abc: 5.4493 7.8961 7.8961
angles: 113.01 97.52 97.52
Positions (direct):
Ho 0.9223 0.6690 0.9304
Ho 0.5000 0.2474 0.7526
Ho 0.6998 0.3870 0.3870
Ho 0.5000 0.7526 0.2474
Ho 0.0777 0.3310 0.0696
Ho 0.9223 0.9304 0.6690
Ho 0.3002 0.6130 0.6130
Ho 0.0777 0.0696 0.3310
Tl 0.5000 0.0000 0.0000
Ir 0.0000 0.6901 0.3099
Ir 0.0000 0.3099 0.6901

Properties
As for the density of states at the Fermi level: 12.0 states/eV per cell. The calculation puts the calculated volume at 303.8 Å³ per cell. The energy of formation from the pure elements is -0.420 eV per atom. The symmetry is C2/m. The total energy comes out at -5.58 eV/atom.